Entry from the Alexandria database: an optimized crystal structure of Cs2TmCo3F12 (PBE with a Hubbard U).

Calculated values
raw total energy: -5.1717 eV/atom
space group: R-3m, No. 166

Structure (CIF):
```
data_Cs2TmCo3F12
_cell_length_a 7.6717
_cell_length_b 7.6717
_cell_length_c 7.6717
_cell_angle_alpha 58.51
_cell_angle_beta 58.51
_cell_angle_gamma 58.51
_symmetry_space_group_name_H-M 'P 1'
_symmetry_Int_Tables_number 1
_symmetry_space_group_name_Hall 'P 1'
loop_
_atom_site_label
_atom_site_type_symbol
_atom_site_fract_x
_atom_site_fract_y
_atom_site_fract_z
_atom_site_occupancy
Cs1 Cs 0.1122 0.1122 0.1122 1
Cs2 Cs 0.8878 0.8878 0.8878 1
Tm1 Tm 0.5000 0.5000 0.5000 1
Co1 Co 0.0000 0.5000 0.5000 1
Co2 Co 0.5000 0.0000 0.5000 1
Co3 Co 0.5000 0.5000 0.0000 1
F1 F 0.1612 0.5777 0.5777 1
F2 F 0.1878 0.1878 0.5795 1
F3 F 0.1878 0.5795 0.1878 1
F4 F 0.4205 0.8122 0.8122 1
F5 F 0.4223 0.4223 0.8388 1
F6 F 0.4223 0.8388 0.4223 1
F7 F 0.5777 0.1612 0.5777 1
F8 F 0.5777 0.5777 0.1612 1
F9 F 0.5795 0.1878 0.1878 1
F10 F 0.8122 0.4205 0.8122 1
F11 F 0.8122 0.8122 0.4205 1
F12 F 0.8388 0.4223 0.4223 1
```